Entry from Alexandria via LeMat-Bulk: a relaxed structure of W2CF (GGA+U).

Cell: 4.0397 4.0397 4.0397 Å, 60.00 60.00 60.00°
Positions (direct):
W 0.2500 0.2500 0.2500
W 0.7500 0.7500 0.7500
C 0.0000 0.0000 0.0000
F 0.5000 0.5000 0.5000

Results
The mass density is 14.2 g/cm3. As for the energy above the most stable polymorph in this dataset: 152 meV/atom. The value obtained for the electronic total energy is -5.430 eV per atom. The calculation puts the density of states at the Fermi level at 2.876 states/eV/cell. The symmetry is Fm-3m.